No. 1
This record from Alexandria via LeMat-Bulk describes an optimized crystal structure of Rb3DyTm2Te6. The functional is GGA-PBE.

a b c (Å): 7.790 13.492 8.932
angles (deg): 90.00 106.90 90.00
Space group C2/m (No. 12)
Unique sites:
1 Rb 0.000 0.000 0.000 (multiplicity 2)
2 Rb 0.000 0.334 0.000 (multiplicity 4)
3 Dy 0.000 0.500 0.500 (multiplicity 2)
4 Tm 0.000 0.167 0.500 (multiplicity 4)
5 Te 0.230 0.000 0.697 (multiplicity 4)
6 Te 0.234 0.332 0.698 (multiplicity 8)

Computed properties:
formation energy (no corrections)	-1.37	eV/atom
final energy	-103.4	eV per cell
spin magnetization	0.00	μB per formula unit

No. 2
This record from Alexandria via LeMat-Bulk describes an optimized crystal structure of Rb4DyTm3Te8. The functional is GGA-PBE.

a b c (Å): 8.9883 8.9883 25.6365
angles (deg): 90.00 90.00 120.00
Space group R-3m (No. 166, hexagonal axes)
Unique sites:
1 Rb 0.0000 0.0000 0.0000 (multiplicity 3)
2 Rb 0.0000 0.5000 0.0000 (multiplicity 9)
3 Dy 0.0000 0.0000 0.5000 (multiplicity 3)
4 Tm 0.0000 0.5000 0.5000 (multiplicity 9)
5 Te 0.0000 0.0000 0.2322 (multiplicity 6)
6 Te 0.0025 0.5012 0.7675 (multiplicity 18)

Computed properties:
formation energy (no corrections)	-1.36	eV/atom
final energy	-206.5	eV per cell
spin magnetization	0.00	μB per formula unit

No. 3
This record from Alexandria via LeMat-Bulk describes an optimized crystal structure of Rb4Dy3UTe8. The functional is GGA-PBE.

a b c (Å): 9.0776 9.0776 25.6870
angles (deg): 90.00 90.00 120.00
Space group R-3m (No. 166, hexagonal axes)
Unique sites:
1 Rb 0.0000 0.0000 0.0000 (multiplicity 3)
2 Rb 0.0000 0.5000 0.0000 (multiplicity 9)
3 Dy 0.0000 0.5000 0.5000 (multiplicity 9)
4 U 0.0000 0.0000 0.5000 (multiplicity 3)
5 Te 0.0000 0.0000 0.2330 (multiplicity 6)
6 Te 0.0036 0.5018 0.7666 (multiplicity 18)

Computed properties:
formation energy (no corrections)	-1.24	eV/atom
final energy	-221.6	eV per cell
spin magnetization	3.02	μB per formula unit

No. 4
This record from Alexandria via LeMat-Bulk describes an optimized crystal structure of Rb3Dy2UTe6. The functional is GGA-PBE.

a b c (Å): 7.883 13.654 8.961
angles (deg): 90.00 107.05 90.00
Space group C2/m (No. 12)
Unique sites:
1 Rb 0.000 0.000 0.000 (multiplicity 2)
2 Rb 0.000 0.334 0.000 (multiplicity 4)
3 Dy 0.000 0.167 0.500 (multiplicity 4)
4 U 0.000 0.500 0.500 (multiplicity 2)
5 Te 0.229 0.000 0.700 (multiplicity 4)
6 Te 0.236 0.331 0.701 (multiplicity 8)

Computed properties:
formation energy (no corrections)	-1.19	eV/atom
final energy	-113.1	eV per cell
spin magnetization	3.01	μB per formula unit

No. 5
This record from Alexandria via LeMat-Bulk describes an optimized crystal structure of Rb2DyUTe4. The functional is GGA-PBE.

a b c (Å): 7.871 4.540 8.973
angles (deg): 90.00 107.00 90.00
Space group P2/m (No. 10)
Unique sites:
1 Rb 0.000 0.000 0.000 (multiplicity 1)
2 Rb 0.500 0.500 0.000 (multiplicity 1)
3 Dy 0.000 0.500 0.500 (multiplicity 1)
4 U 0.500 0.000 0.500 (multiplicity 1)
5 Te 0.230 0.000 0.700 (multiplicity 2)
6 Te 0.263 0.500 0.298 (multiplicity 2)

Computed properties:
formation energy (no corrections)	-1.10	eV/atom
final energy	-39.2	eV per cell
spin magnetization	3.01	μB per formula unit

No. 6
This record from Alexandria via LeMat-Bulk describes an optimized crystal structure of Rb4DyY3Te8. The functional is GGA-PBE.

a b c (Å): 9.0561 9.0561 25.6470
angles (deg): 90.00 90.00 120.00
Space group R-3m (No. 166, hexagonal axes)
Unique sites:
1 Rb 0.0000 0.0000 0.0000 (multiplicity 3)
2 Rb 0.0000 0.5000 0.0000 (multiplicity 9)
3 Dy 0.0000 0.0000 0.5000 (multiplicity 3)
4 Y 0.0000 0.5000 0.5000 (multiplicity 9)
5 Te 0.0000 0.0000 0.2332 (multiplicity 6)
6 Te 0.0004 0.5002 0.2332 (multiplicity 18)

Computed properties:
formation energy (no corrections)	-1.40	eV/atom
final energy	-226.0	eV per cell
spin magnetization	0.00	μB per formula unit

Which formula does entry 4 have? Rb3Dy2UTe6

Look up the formation energy (no corrections) of the first one. -1.37 eV/atom